# VP2RuO (GGA+U, optimized geometry)
data_VP2RuO
_symmetry_space_group_name_H-M 'P 4/m m m'
_symmetry_Int_Tables_number 123
_symmetry_space_group_name_Hall '-P 4 2'
_cell_length_a 4.790
_cell_length_b 4.790
_cell_length_c 3.666
_cell_angle_alpha 90.00
_cell_angle_beta 90.00
_cell_angle_gamma 90.00
loop_
_atom_site_label
_atom_site_type_symbol
_atom_site_fract_x
_atom_site_fract_y
_atom_site_fract_z
V1 V 0.000 0.000 0.000
P1 P 0.000 0.500 0.500
Ru1 Ru 0.500 0.500 0.500
O1 O 0.500 0.500 0.000
# Polymorph energy (0 for the lowest one) in eV per atom: 0.010